*A*
{"formula": "NaMg16Al12", "functional": "PBE", "state": "optimized geometry", "cell": [[5.280, -7.475, 0.024], [5.280, 7.475, 0.024], [-5.336, 0.000, 7.434]], "species": ["Mg", "Mg", "Mg", "Mg", "Mg", "Mg", "Mg", "Mg", "Mg", "Mg", "Mg", "Mg", "Mg", "Mg", "Mg", "Mg", "Al", "Al", "Al", "Al", "Al", "Al", "Al", "Al", "Al", "Al", "Al", "Al", "Na"], "frac_coords": [[0.002, 0.002, 0.345], [0.686, 0.686, 0.286], [0.286, 0.686, 0.686], [0.316, 0.602, 0.000], [0.394, 0.715, 0.394], [0.602, 0.000, 0.316], [0.002, 0.345, 0.002], [0.000, 0.602, 0.316], [0.602, 0.316, 0.000], [0.998, 0.998, 0.998], [0.394, 0.394, 0.715], [0.715, 0.394, 0.394], [0.316, 0.000, 0.602], [0.686, 0.286, 0.686], [0.000, 0.316, 0.602], [0.345, 0.002, 0.002], [0.181, 0.366, 0.366], [0.003, 0.635, 0.817], [0.186, 0.821, 0.186], [0.003, 0.817, 0.635], [0.821, 0.186, 0.186], [0.817, 0.635, 0.003], [0.635, 0.003, 0.817], [0.635, 0.817, 0.003], [0.186, 0.186, 0.821], [0.817, 0.003, 0.635], [0.366, 0.366, 0.181], [0.366, 0.181, 0.366], [0.638, 0.638, 0.638]], "crystal_system": "trigonal", "space_group": "No. 160"}


*B*
{"formula": "NaMg16Al12", "functional": "PBE", "state": "optimized geometry", "cell": [[9.138, -0.010, -0.001], [-2.996, 8.633, -0.001], [3.058, 4.294, 7.480]], "species": ["Al", "Al", "Al", "Al", "Al", "Al", "Al", "Al", "Al", "Al", "Al", "Al", "Mg", "Mg", "Mg", "Mg", "Mg", "Mg", "Mg", "Mg", "Mg", "Mg", "Mg", "Mg", "Mg", "Mg", "Mg", "Mg", "Na"], "frac_coords": [[0.812, 0.997, 0.368], [0.366, 0.366, 0.822], [0.999, 0.634, 0.186], [0.365, 0.177, 0.641], [0.637, 0.820, 0.996], [0.820, 0.637, 0.996], [0.185, 0.818, 0.816], [0.818, 0.185, 0.816], [0.178, 0.178, 0.181], [0.997, 0.812, 0.368], [0.177, 0.365, 0.641], [0.634, 0.999, 0.186], [0.713, 0.399, 0.601], [0.605, 0.316, 0.997], [0.316, 0.605, 0.997], [0.001, 0.001, 0.656], [0.601, 0.000, 0.684], [0.999, 0.343, 0.000], [0.000, 0.601, 0.684], [0.343, 0.999, 0.000], [0.999, 0.315, 0.398], [0.399, 0.713, 0.601], [0.684, 0.684, 0.715], [0.662, 0.662, 0.340], [0.315, 0.999, 0.398], [0.284, 0.685, 0.317], [0.001, 0.001, 0.000], [0.685, 0.284, 0.317], [0.405, 0.405, 0.280]], "crystal_system": "monoclinic", "space_group": "No. 8"}


Which structure is the most stable? The one labeled *A*.


*A*
{"formula": "Na2MgAl", "functional": "PBE", "state": "optimized geometry", "cell": [[0.000, 3.715, 3.715], [3.715, 0.000, 3.715], [3.715, 3.715, 0.000]], "species": ["Na", "Na", "Mg", "Al"], "frac_coords": [[0.750, 0.750, 0.750], [0.250, 0.250, 0.250], [0.000, 0.000, 0.000], [0.500, 0.500, 0.500]], "crystal_system": "cubic", "space_group": "No. 225"}


*B*
{"formula": "Na2MgAl", "functional": "PBE", "state": "optimized geometry", "cell": [[8.713, 0.000, 0.000], [0.000, 8.713, 0.000], [4.357, 4.357, 2.940]], "species": ["Al", "Al", "Na", "Na", "Na", "Na", "Mg", "Mg"], "frac_coords": [[0.000, 0.000, 0.000], [0.750, 0.250, 0.500], [0.875, 0.891, 0.750], [0.641, 0.125, 0.250], [0.109, 0.625, 0.250], [0.375, 0.359, 0.750], [0.250, 0.750, 0.500], [0.500, 0.500, 0.000]], "crystal_system": "tetragonal", "space_group": "No. 122"}


Which structure is the most stable? The one labeled *A*.


*A*
{"formula": "NaMg3Al", "functional": "PBE", "state": "optimized geometry", "cell": [[5.299, 0.000, 0.000], [0.000, 5.299, 0.000], [0.000, 0.000, 5.299]], "species": ["Al", "Na", "Mg", "Mg", "Mg"], "frac_coords": [[0.000, 0.000, 0.000], [0.500, 0.500, 0.500], [0.000, 0.500, 0.000], [0.500, 0.000, 0.000], [0.000, 0.000, 0.500]], "crystal_system": "cubic", "space_group": "No. 221"}


*B*
{"formula": "NaMg3Al", "functional": "PBE", "state": "optimized geometry", "cell": [[-3.738, -0.106, -3.744], [-2.073, -4.348, 2.192], [-3.120, 3.015, 3.030]], "species": ["Al", "Mg", "Mg", "Mg", "Na"], "frac_coords": [[0.500, 0.500, 0.500], [0.000, 0.500, 0.000], [0.000, 0.000, 0.500], [0.500, 0.000, 0.000], [0.000, 0.000, 0.000]], "crystal_system": "cubic", "space_group": "No. 221"}


Which structure is the most stable? The one labeled *A*.


*A*
{"formula": "MgNb3Al", "functional": "PBE", "state": "optimized geometry", "cell": [[4.780, 0.000, 0.000], [0.000, 4.780, 0.000], [0.000, 0.000, 4.780]], "species": ["Nb", "Nb", "Nb", "Mg", "Al"], "frac_coords": [[0.000, 0.000, 0.500], [0.500, 0.000, 0.000], [0.000, 0.500, 0.000], [0.500, 0.500, 0.500], [0.000, 0.000, 0.000]], "crystal_system": "cubic", "space_group": "No. 221"}


*B*
{"formula": "MgNb3Al", "functional": "PBE", "state": "optimized geometry", "cell": [[4.728, 0.000, 0.000], [0.000, 4.728, 0.000], [0.000, 0.000, 4.728]], "species": ["Mg", "Nb", "Nb", "Nb", "Al"], "frac_coords": [[0.000, 0.000, 0.000], [0.000, 0.000, 0.500], [0.500, 0.000, 0.000], [0.000, 0.500, 0.000], [0.500, 0.500, 0.500]], "crystal_system": "cubic", "space_group": "No. 221"}


Which structure is the most stable? The one labeled *A*.


*A*
{"formula": "MgNb2Al2", "functional": "PBE", "state": "optimized geometry", "cell": [[-5.459, -3.735, 2.827], [4.669, -3.984, 3.751], [-0.184, 2.249, 2.616]], "species": ["Nb", "Nb", "Nb", "Nb", "Al", "Al", "Al", "Al", "Mg", "Mg"], "frac_coords": [[0.329, 0.171, 0.500], [0.671, 0.829, 0.500], [0.171, 0.671, 0.500], [0.829, 0.329, 0.500], [0.875, 0.625, 0.000], [0.625, 0.125, 0.000], [0.375, 0.875, 0.000], [0.125, 0.375, 0.000], [0.500, 0.500, 0.000], [0.000, 0.000, 0.000]], "crystal_system": "tetragonal", "space_group": "No. 127"}


*B*
{"formula": "MgNb2Al2", "functional": "PBE", "state": "optimized geometry", "cell": [[8.022, 0.000, 0.000], [0.000, 8.022, 0.000], [0.000, 0.000, 2.950]], "species": ["Mg", "Mg", "Nb", "Nb", "Nb", "Nb", "Al", "Al", "Al", "Al"], "frac_coords": [[0.000, 0.000, 0.000], [0.500, 0.500, 0.000], [0.117, 0.383, 0.000], [0.883, 0.617, 0.000], [0.617, 0.117, 0.000], [0.383, 0.883, 0.000], [0.679, 0.821, 0.500], [0.821, 0.321, 0.500], [0.179, 0.679, 0.500], [0.321, 0.179, 0.500]], "crystal_system": "tetragonal", "space_group": "No. 127"}


Which structure is the most stable? The one labeled *A*.


*A*
{"formula": "Mg3NbAl", "functional": "PBE", "state": "optimized geometry", "cell": [[5.412, 0.000, 0.000], [0.000, 5.412, 0.000], [0.000, 0.000, 5.412]], "species": ["Al", "Mg", "Mg", "Mg", "Nb"], "frac_coords": [[0.500, 0.500, 0.500], [0.000, 0.000, 0.500], [0.500, 0.000, 0.000], [0.000, 0.500, 0.000], [0.000, 0.000, 0.000]], "crystal_system": "cubic", "space_group": "No. 221"}


*B*
{"formula": "Mg3NbAl", "functional": "PBE", "state": "optimized geometry", "cell": [[-0.716, 4.047, -2.710], [-3.997, 1.076, 2.664], [2.783, 2.588, 3.129]], "species": ["Mg", "Mg", "Mg", "Al", "Nb"], "frac_coords": [[0.000, 0.000, 0.500], [0.500, 0.000, 0.000], [0.000, 0.500, 0.000], [0.000, 0.000, 0.000], [0.500, 0.500, 0.500]], "crystal_system": "cubic", "space_group": "No. 221"}


Which structure is the most stable? The one labeled *B*.


*A*
{"formula": "NdMgAl2", "functional": "PBE", "state": "optimized geometry", "cell": [[-2.985, 3.641, -0.556], [-5.264, -4.007, 2.022], [1.750, 3.056, 10.613]], "species": ["Nd", "Nd", "Nd", "Nd", "Al", "Al", "Al", "Al", "Al", "Al", "Al", "Al", "Mg", "Mg", "Mg", "Mg"], "frac_coords": [[0.250, 0.749, 0.658], [0.250, 0.249, 0.842], [0.750, 0.751, 0.158], [0.750, 0.251, 0.342], [0.250, 0.442, 0.139], [0.750, 0.940, 0.861], [0.250, 0.060, 0.139], [0.250, 0.942, 0.361], [0.750, 0.058, 0.639], [0.250, 0.560, 0.361], [0.750, 0.558, 0.861], [0.750, 0.440, 0.639], [0.750, 0.751, 0.451], [0.250, 0.249, 0.549], [0.750, 0.251, 0.049], [0.250, 0.749, 0.951]], "crystal_system": "orthorhombic", "space_group": "No. 62"}


*B*
{"formula": "NdMgAl2", "functional": "PBE", "state": "optimized geometry", "cell": [[-2.452, -1.620, -1.925], [2.199, -2.687, -0.539], [-2.534, -3.274, 5.983]], "species": ["Al", "Al", "Nd", "Mg"], "frac_coords": [[0.000, 0.000, 0.791], [0.000, 0.000, 0.209], [0.500, 0.500, 0.500], [0.500, 0.500, 0.000]], "crystal_system": "tetragonal", "space_group": "No. 123"}


*C*
{"formula": "NdMgAl2", "functional": "PBE", "state": "optimized geometry", "cell": [[-1.913, 2.345, -4.009], [-4.888, 1.151, -0.142], [-1.463, 4.792, 0.355]], "species": ["Mg", "Al", "Al", "Nd"], "frac_coords": [[0.000, 0.000, 0.000], [0.250, 0.250, 0.250], [0.750, 0.750, 0.750], [0.500, 0.500, 0.500]], "crystal_system": "cubic", "space_group": "No. 225"}


Which structure is the most stable? The one labeled *A*.


*A*
{"formula": "NdMgAl2", "functional": "PBE", "state": "optimized geometry", "cell": [[-3.791, 2.259, -0.027], [-2.109, -3.519, 1.880], [0.941, 1.627, 4.102]], "species": ["Nd", "Mg", "Al", "Al"], "frac_coords": [[0.500, 0.500, 0.500], [0.500, 0.000, 0.000], [0.000, 0.000, 0.500], [0.000, 0.500, 0.000]], "crystal_system": "tetragonal", "space_group": "No. 123"}


*B*
{"formula": "NdMgAl2", "functional": "PBE", "state": "optimized geometry", "cell": [[-2.042, -0.715, 4.042], [2.403, -1.705, 3.513], [1.386, 4.072, 4.020]], "species": ["Mg", "Nd", "Al", "Al"], "frac_coords": [[0.000, 0.000, 0.000], [0.500, 0.500, 0.500], [0.286, 0.286, 0.143], [0.714, 0.714, 0.857]], "crystal_system": "trigonal", "space_group": "No. 166"}


Which structure is the most stable? The one labeled *A*.


*A*
{"formula": "Nd8MgAl2", "functional": "PBE", "state": "optimized geometry", "cell": [[4.919, 0.000, -1.493], [-1.081, 8.006, -3.560], [0.052, -0.851, 9.016]], "species": ["Nd", "Nd", "Nd", "Nd", "Nd", "Nd", "Nd", "Nd", "Al", "Al", "Mg"], "frac_coords": [[0.148, 0.148, 0.295], [0.660, 0.877, 0.321], [0.000, 0.678, 0.000], [0.852, 0.852, 0.705], [0.340, 0.123, 0.679], [0.660, 0.444, 0.321], [0.340, 0.556, 0.679], [0.000, 0.322, 0.000], [0.803, 0.303, 0.607], [0.197, 0.697, 0.393], [0.500, 0.000, 0.000]], "crystal_system": "orthorhombic", "space_group": "No. 71"}


*B*
{"formula": "Nd8MgAl2", "functional": "PBE", "state": "optimized geometry", "cell": [[5.046, 0.000, 0.000], [0.000, 8.063, 0.215], [-2.523, -3.128, 8.291]], "species": ["Nd", "Nd", "Nd", "Nd", "Nd", "Nd", "Nd", "Nd", "Al", "Al", "Mg"], "frac_coords": [[0.675, 0.931, 0.351], [0.173, 0.254, 0.346], [0.325, 0.069, 0.649], [0.959, 0.265, 0.919], [0.041, 0.735, 0.081], [0.827, 0.746, 0.654], [0.397, 0.537, 0.794], [0.603, 0.463, 0.206], [0.210, 0.674, 0.420], [0.790, 0.326, 0.580], [0.500, 0.000, 0.000]], "crystal_system": "monoclinic", "space_group": "No. 12"}


Which structure is the most stable? The one labeled *B*.


*A*
{"formula": "Nd4MgAl", "functional": "PBE", "state": "optimized geometry", "cell": [[3.536, 0.000, 0.000], [1.768, 5.758, 0.139], [1.768, 0.972, 9.546]], "species": ["Al", "Nd", "Nd", "Nd", "Nd", "Mg"], "frac_coords": [[0.500, 0.500, 0.500], [0.344, 0.478, 0.834], [0.867, 0.907, 0.359], [0.656, 0.522, 0.166], [0.133, 0.093, 0.641], [0.000, 0.000, 0.000]], "crystal_system": "monoclinic", "space_group": "No. 12"}


*B*
{"formula": "Nd4MgAl", "functional": "PBE", "state": "optimized geometry", "cell": [[-2.924, 1.621, 1.599], [-5.412, -4.487, -1.054], [2.868, 1.247, 8.275]], "species": ["Nd", "Nd", "Nd", "Nd", "Al", "Mg"], "frac_coords": [[0.685, 0.965, 0.665], [0.164, 0.489, 0.182], [0.315, 0.035, 0.335], [0.836, 0.511, 0.818], [0.500, 0.500, 0.500], [0.000, 0.000, 0.000]], "crystal_system": "monoclinic", "space_group": "No. 12"}


Which structure is the most stable? The one labeled *B*.